Sr3ScU3N8 after structural relaxation. Source: Alexandria, functional GGA-PBE.

a = 6.926 Å, b = 6.927 Å, c = 7.199 Å
α = 118.76°, β = 90.00°, γ = 120.00°
Site moments in Bohr magnetons follow the coordinates.
Sites, in units of the cell vectors:
N1 0.772 0.051 0.322  -0.04
N2 0.265 0.530 0.296  -0.04
N3 0.228 0.949 0.678  -0.04
N4 0.279 0.051 0.322  -0.04
N5 0.721 0.949 0.678  -0.04
N6 0.735 0.470 0.704  -0.04
N7 0.772 0.543 0.322  -0.04
N8 0.228 0.457 0.678  -0.04
U1 0.500 0.500 0.500  0.91
U2 0.500 0.000 0.500  0.91
U3 0.000 0.500 0.500  0.91
Sc1 0.000 0.000 0.500  0.04
Sr1 0.000 0.500 0.000  0.04
Sr2 0.500 0.500 0.000  0.04
Sr3 0.000 0.000 0.000  0.04

Computed properties:
Mass density   7.57 g cm⁻³
SG   R-3m (166)
Raw total energy   -130.0 eV per cell
Total moment   2.882 μB/cell